# Pb2AuN2 (PBE, optimized geometry)
data_Pb2AuN2
_chemical_formula_sum 'Pb4 Au2 N4'
_cell_length_a 5.059
_cell_length_b 5.057
_cell_length_c 11.668
_cell_angle_alpha 90.00
_cell_angle_beta 90.12
_cell_angle_gamma 90.00
_symmetry_space_group_name_H-M 'C 1 2/m 1'
_symmetry_Int_Tables_number 12
_symmetry_space_group_name_Hall '-C 2y'
loop_
_atom_site_label
_atom_site_type_symbol
_atom_site_fract_x
_atom_site_fract_y
_atom_site_fract_z
Pb1 Pb 0.002 0.000 0.351
Au1 Au 0.000 0.500 0.500
N1 N 0.057 0.500 0.959
# Formation energy without anion corrections, eV per formula unit: 0.14
# Magnetization, μB per atom: 0.000
# Crystal system: monoclinic